# PBE-GGA Nb3FeC, relaxed
# Density   7.51 g/cm3
# SG   Pm-3m (221)
# ΔE_f   126.6 meV per atom
# Uncorrected energy   -9.45 eV/atom
data_Nb3FeC
_symmetry_space_group_name_H-M 'P 1'
_symmetry_Int_Tables_number 1
_cell_length_a 4.2480
_cell_length_b 4.2480
_cell_length_c 4.2480
_cell_angle_alpha 90.00
_cell_angle_beta 90.00
_cell_angle_gamma 90.00
loop_
_symmetry_equiv_pos_as_xyz
'x,y,z'
loop_
_atom_site_label
_atom_site_fract_x
_atom_site_fract_y
_atom_site_fract_z
Nb1 0.0000 0.0000 0.5000
Nb2 0.0000 0.5000 0.0000
Nb3 0.5000 0.0000 0.0000
Fe1 0.5000 0.5000 0.5000
C1 0.0000 0.0000 0.0000